Material: Sn2BiPb5
Method: DFT, GGA-PBE
State: optimized geometry

The total moment is 0.0 μB per formula unit. The energy above the most stable polymorph in this dataset is 3 meV per atom. Its calculated formation energy is 0.054 eV/atom.

It has space group I4/mcm (No. 140), with a = 8.537 Å, b = 8.537 Å, c = 13.676 Å, α = 90.00°, β = 90.00° and γ = 90.00°. The asymmetric unit holds Sn at (0.140, 0.360, 0.000), Bi at (0.000, 0.000, 0.250), Pb at (0.000, 0.000, 0.000) and Pb at (0.147, 0.353, 0.340).